# 1
The following is a PBE calculation of crystalline Pr2Mn2C3 at its relaxed geometry, from the Alexandria database.

Cell and atoms, written as CIF:
```
data_Pr2Mn2C3
_chemical_formula_sum 'Pr2 Mn2 C3'
_cell_length_a 5.432
_cell_length_b 5.432
_cell_length_c 6.530
_cell_angle_alpha 121.34
_cell_angle_beta 121.34
_cell_angle_gamma 37.88
_symmetry_space_group_name_H-M 'P 1'
_symmetry_Int_Tables_number 1
_symmetry_space_group_name_Hall 'P 1'
loop_
_atom_site_label
_atom_site_type_symbol
_atom_site_fract_x
_atom_site_fract_y
_atom_site_fract_z
Pr1 Pr 0.070 0.070 0.330
Pr2 Pr 0.930 0.930 0.670
Mn1 Mn 0.300 0.300 0.920
Mn2 Mn 0.700 0.700 0.080
C1 C 0.292 0.292 0.216
C2 C 0.500 0.500 0.000
C3 C 0.708 0.708 0.784
```

Summary:
* space group: C2/m (12)
* crystal system: monoclinic
* excess energy over the best structure of this formula in the dataset: 0.003 eV per atom



# 2
The following is a PBE calculation of crystalline MnCd4In at its relaxed geometry, from the Alexandria database.

Cell and atoms, written as CIF:
```
data_MnCd4In
_chemical_formula_sum 'Mn1 Cd4 In1'
_cell_length_a 5.802
_cell_length_b 5.802
_cell_length_c 5.802
_cell_angle_alpha 60.00
_cell_angle_beta 60.00
_cell_angle_gamma 60.00
_symmetry_space_group_name_H-M 'P 1'
_symmetry_Int_Tables_number 1
_symmetry_space_group_name_Hall 'P 1'
loop_
_atom_site_label
_atom_site_type_symbol
_atom_site_fract_x
_atom_site_fract_y
_atom_site_fract_z
Mn1 Mn 0.000 0.000 0.000
Cd1 Cd 0.123 0.626 0.626
Cd2 Cd 0.626 0.123 0.626
Cd3 Cd 0.626 0.626 0.123
Cd4 Cd 0.626 0.626 0.626
In1 In 0.250 0.250 0.250
```

Summary:
* electronic total energy: -2.31 eV/atom
* space group: F-43m (216)
* crystal system: cubic



# 3
The following is a PBE calculation of crystalline SiSbN2F at its relaxed geometry, from the Alexandria database.

Cell and atoms, written as CIF:
```
data_SiSbN2F
_chemical_formula_sum 'Si1 Sb1 N2 F1'
_cell_length_a 3.798
_cell_length_b 3.798
_cell_length_c 3.652
_cell_angle_alpha 90.00
_cell_angle_beta 90.00
_cell_angle_gamma 90.00
_symmetry_space_group_name_H-M 'P 1'
_symmetry_Int_Tables_number 1
_symmetry_space_group_name_Hall 'P 1'
loop_
_atom_site_label
_atom_site_type_symbol
_atom_site_fract_x
_atom_site_fract_y
_atom_site_fract_z
Si1 Si 0.000 0.000 0.000
Sb1 Sb 0.500 0.500 0.500
N1 N 0.000 0.500 0.000
N2 N 0.500 0.000 0.000
F1 F 0.000 0.000 0.500
```

Summary:
* space group: P4/mmm (123)
* crystal system: tetragonal
* excess energy over the best structure of this formula in the dataset: 0.000 eV per atom



# 4
The following is a PBE calculation of crystalline Pa2InSn9 at its relaxed geometry, from the Alexandria database.

Cell and atoms, written as CIF:
```
data_Pa2InSn9
_chemical_formula_sum 'Pa2 In1 Sn9'
_cell_length_a 4.615
_cell_length_b 4.615
_cell_length_c 14.695
_cell_angle_alpha 90.00
_cell_angle_beta 90.00
_cell_angle_gamma 90.00
_symmetry_space_group_name_H-M 'P 1'
_symmetry_Int_Tables_number 1
_symmetry_space_group_name_Hall 'P 1'
loop_
_atom_site_label
_atom_site_type_symbol
_atom_site_fract_x
_atom_site_fract_y
_atom_site_fract_z
Pa1 Pa 0.000 0.000 0.155
Pa2 Pa 0.000 0.000 0.845
In1 In 0.000 0.000 0.500
Sn1 Sn 0.000 0.500 0.000
Sn2 Sn 0.000 0.500 0.324
Sn3 Sn 0.000 0.500 0.676
Sn4 Sn 0.500 0.000 0.000
Sn5 Sn 0.500 0.000 0.324
Sn6 Sn 0.500 0.000 0.676
Sn7 Sn 0.500 0.500 0.162
Sn8 Sn 0.500 0.500 0.500
Sn9 Sn 0.500 0.500 0.838
```

Summary:
* electronic total energy: -4.96 eV/atom
* space group: P4/mmm (123)
* crystal system: tetragonal



# 5
The following is a PBE calculation of crystalline Ho5Er3Cd2 at its relaxed geometry, from the Alexandria database.

Cell and atoms, written as CIF:
```
data_Ho5Er3Cd2
_chemical_formula_sum 'Ho10 Er6 Cd4'
_cell_length_a 10.277
_cell_length_b 10.277
_cell_length_c 10.277
_cell_angle_alpha 100.18
_cell_angle_beta 91.62
_cell_angle_gamma 142.66
_symmetry_space_group_name_H-M 'P 1'
_symmetry_Int_Tables_number 1
_symmetry_space_group_name_Hall 'P 1'
loop_
_atom_site_label
_atom_site_type_symbol
_atom_site_fract_x
_atom_site_fract_y
_atom_site_fract_z
Ho1 Ho 0.173 0.098 0.272
Ho2 Ho 0.250 0.011 0.761
Ho3 Ho 0.250 0.250 0.000
Ho4 Ho 0.250 0.489 0.239
Ho5 Ho 0.327 0.598 0.925
Ho6 Ho 0.673 0.402 0.075
Ho7 Ho 0.750 0.511 0.761
Ho8 Ho 0.750 0.750 0.000
Ho9 Ho 0.750 0.989 0.239
Ho10 Ho 0.827 0.902 0.728
Er1 Er 0.215 0.361 0.576
Er2 Er 0.250 0.750 0.500
Er3 Er 0.285 0.861 0.145
Er4 Er 0.715 0.139 0.855
Er5 Er 0.750 0.250 0.500
Er6 Er 0.785 0.639 0.424
Cd1 Cd 0.133 0.631 0.764
Cd2 Cd 0.367 0.131 0.499
Cd3 Cd 0.633 0.869 0.501
Cd4 Cd 0.867 0.369 0.236
```

Summary:
* electronic total energy: -3.65 eV/atom
* space group: Ibam (72)
* crystal system: orthorhombic



# 6
The following is a PBE calculation of crystalline ZrAlPCl2 at its relaxed geometry, from the Alexandria database.

Cell and atoms, written as CIF:
```
data_ZrAlPCl2
_chemical_formula_sum 'Zr1 Al1 P1 Cl2'
_cell_length_a 4.532
_cell_length_b 4.532
_cell_length_c 5.011
_cell_angle_alpha 90.00
_cell_angle_beta 90.00
_cell_angle_gamma 90.00
_symmetry_space_group_name_H-M 'P 1'
_symmetry_Int_Tables_number 1
_symmetry_space_group_name_Hall 'P 1'
loop_
_atom_site_label
_atom_site_type_symbol
_atom_site_fract_x
_atom_site_fract_y
_atom_site_fract_z
Zr1 Zr 0.000 0.000 0.000
Al1 Al 0.500 0.500 0.500
P1 P 0.500 0.500 0.000
Cl1 Cl 0.000 0.500 0.500
Cl2 Cl 0.500 0.000 0.500
```

Summary:
* space group: P4/mmm (123)
* crystal system: tetragonal
* excess energy over the best structure of this formula in the dataset: 0.345 eV per atom



# 7
The following is a PBE calculation of crystalline TmGa7Co5 at its relaxed geometry, from the Alexandria database.

Cell and atoms, written as CIF:
```
data_TmGa7Co5
_chemical_formula_sum 'Tm1 Ga7 Co5'
_cell_length_a 6.492
_cell_length_b 6.492
_cell_length_c 6.492
_cell_angle_alpha 133.85
_cell_angle_beta 97.99
_cell_angle_gamma 99.68
_symmetry_space_group_name_H-M 'P 1'
_symmetry_Int_Tables_number 1
_symmetry_space_group_name_Hall 'P 1'
loop_
_atom_site_label
_atom_site_type_symbol
_atom_site_fract_x
_atom_site_fract_y
_atom_site_fract_z
Tm1 Tm 0.000 0.000 0.000
Ga1 Ga 0.190 0.491 0.699
Ga2 Ga 0.238 0.738 0.500
Ga3 Ga 0.346 0.346 0.000
Ga4 Ga 0.366 0.026 0.340
Ga5 Ga 0.667 0.667 0.000
Ga6 Ga 0.686 0.026 0.660
Ga7 Ga 0.793 0.491 0.301
Co1 Co 0.012 0.516 0.017
Co2 Co 0.012 0.995 0.496
Co3 Co 0.499 0.516 0.504
Co4 Co 0.499 0.995 0.983
Co5 Co 0.774 0.274 0.500
```

Summary:
* electronic total energy: -5.05 eV/atom
* space group: Imm2 (44)
* crystal system: orthorhombic



# 8
The following is a PBE calculation of crystalline TiCdOs3 at its relaxed geometry, from the Alexandria database.

Cell and atoms, written as CIF:
```
data_TiCdOs3
_chemical_formula_sum 'Ti1 Cd1 Os3'
_cell_length_a 4.737
_cell_length_b 4.737
_cell_length_c 4.737
_cell_angle_alpha 90.00
_cell_angle_beta 90.00
_cell_angle_gamma 90.00
_symmetry_space_group_name_H-M 'P 1'
_symmetry_Int_Tables_number 1
_symmetry_space_group_name_Hall 'P 1'
loop_
_atom_site_label
_atom_site_type_symbol
_atom_site_fract_x
_atom_site_fract_y
_atom_site_fract_z
Ti1 Ti 0.000 0.000 0.000
Cd1 Cd 0.500 0.500 0.500
Os1 Os 0.000 0.500 0.500
Os2 Os 0.500 0.000 0.500
Os3 Os 0.500 0.500 0.000
```

Summary:
* space group: Pm-3m (221)
* crystal system: cubic
* excess energy over the best structure of this formula in the dataset: 1.096 eV per atom